Entry 1:
First-principles (GGA-PBE) data for a relaxed KBaTlCl2 crystal, as listed in Alexandria.

Structure (POSCAR):
```
KBaTlCl2
1.0
6.148 0.000 0.000
0.000 6.148 0.000
0.000 0.000 6.560
K Ba Tl Cl
1 1 1 2
direct
0.000 0.000 0.000
0.500 0.500 0.000
0.500 0.500 0.500
0.000 0.500 0.500
0.500 0.000 0.500
```

Computed properties:
The calculation puts the total energy at -0.1813 Ry per atom. The uncorrected formation energy is -0.651 eV per atom. The spin magnetization comes out at 0.00 μB/f.u. As for the space group: P4/mmm. The density of states at the Fermi level is 2.37 states/eV per cell.

---

Entry 2:
First-principles (GGA-PBE) data for a relaxed K2BaTlCl8 crystal, as listed in Alexandria.

Structure (POSCAR):
```
K2BaTlCl8
1.0
5.978 0.000 0.000
0.645 7.130 0.000
0.010 0.488 9.239
K Ba Tl Cl
2 1 1 8
direct
0.016 0.475 0.263
0.984 0.525 0.737
0.500 0.000 0.000
0.500 0.000 0.500
0.026 0.229 0.997
0.101 0.175 0.529
0.416 0.764 0.298
0.444 0.757 0.720
0.556 0.243 0.280
0.584 0.236 0.702
0.899 0.825 0.471
0.974 0.771 0.003
```

Computed properties:
The calculation puts the total energy at -0.2346 Ry per atom. The uncorrected formation energy is -1.421 eV per atom. The spin magnetization comes out at 1.06 μB/f.u. As for the space group: P-1. The density of states at the Fermi level is 4.39 states/eV per cell.

---

Entry 3:
First-principles (GGA-PBE) data for a relaxed KBaTmCl6 crystal, as listed in Alexandria.

Structure (POSCAR):
```
KBaTmCl6
1.0
7.599 0.000 0.000
-3.799 6.581 0.000
0.000 0.000 12.757
K Ba Tm Cl
2 2 2 12
direct
0.000 0.000 0.000
0.000 0.000 0.500
0.333 0.667 0.250
0.667 0.333 0.750
0.333 0.667 0.750
0.667 0.333 0.250
0.047 0.385 0.633
0.047 0.662 0.867
0.338 0.385 0.867
0.338 0.953 0.633
0.385 0.047 0.133
0.385 0.338 0.367
0.615 0.662 0.633
0.615 0.953 0.867
0.662 0.047 0.367
0.662 0.615 0.133
0.953 0.338 0.133
0.953 0.615 0.367
```

Computed properties:
The calculation puts the total energy at -0.3212 Ry per atom. The uncorrected formation energy is -2.307 eV per atom. The spin magnetization comes out at 0.00 μB/f.u. As for the space group: P-31c. The density of states at the Fermi level is 0.00 states/eV per cell.

---

Entry 4:
First-principles (GGA-PBE) data for a relaxed K2BaVCl crystal, as listed in Alexandria.

Structure (POSCAR):
```
K2BaVCl
1.0
5.874 0.000 0.000
0.000 5.874 0.000
0.000 0.000 6.360
K Ba V Cl
2 1 1 1
direct
0.000 0.500 0.000
0.500 0.000 0.000
0.000 0.000 0.500
0.500 0.500 0.500
0.000 0.000 0.000
```

Computed properties:
The calculation puts the total energy at -0.2249 Ry per atom. The uncorrected formation energy is -0.043 eV per atom. The spin magnetization comes out at 5.62 μB/f.u. As for the space group: P4/mmm. The density of states at the Fermi level is 5.15 states/eV per cell.

---

Entry 5:
First-principles (GGA-PBE) data for a relaxed KBaZn2Cl crystal, as listed in Alexandria.

Structure (POSCAR):
```
KBaZn2Cl
1.0
6.072 0.000 0.000
0.000 6.072 0.000
0.000 0.000 13.736
K Ba Zn Cl
1 1 2 1
direct
0.000 0.000 0.000
0.000 0.000 0.500
0.000 0.500 0.500
0.500 0.000 0.500
0.500 0.500 0.000
```

Computed properties:
The calculation puts the total energy at -0.0963 Ry per atom. The uncorrected formation energy is 0.173 eV per atom. The spin magnetization comes out at 0.77 μB/f.u. As for the space group: P4/mmm. The density of states at the Fermi level is 6.96 states/eV per cell.

---

Entry 6:
First-principles (GGA-PBE) data for a relaxed Ba2LaCl crystal, as listed in Alexandria.

Structure (POSCAR):
```
Ba2LaCl
1.0
-2.022 3.790 6.205
2.022 -3.790 6.205
2.022 3.790 -6.205
Ba La Cl
2 1 1
direct
0.197 0.197 0.000
0.803 0.803 0.000
0.500 0.000 0.500
0.000 0.500 0.500
```

Computed properties:
The calculation puts the total energy at -0.2305 Ry per atom. The calculation puts the relative energy among the computed polymorphs at 274 meV/atom. The uncorrected formation energy is -0.481 eV per atom. The spin magnetization comes out at 1.31 μB/f.u. As for the space group: Immm. The density of states at the Fermi level is 6.38 states/eV per cell.

---

Entry 7:
First-principles (GGA-PBE) data for a relaxed Ba2LaCl crystal, as listed in Alexandria.

Structure (POSCAR):
```
Ba2LaCl
1.0
2.251 -3.380 0.000
2.251 3.380 0.000
0.000 0.000 11.357
Ba La Cl
2 1 1
direct
0.000 0.000 0.211
0.000 0.000 0.789
0.500 0.500 0.500
0.500 0.500 0.000
```

Computed properties:
The calculation puts the total energy at -0.2473 Ry per atom. The calculation puts the relative energy among the computed polymorphs at 45 meV/atom. The uncorrected formation energy is -0.710 eV per atom. The spin magnetization comes out at 0.00 μB/f.u. As for the space group: Cmmm. The density of states at the Fermi level is 3.62 states/eV per cell.

---

Entry 8:
First-principles (GGA-PBE) data for a relaxed BaLa2Cl crystal, as listed in Alexandria.

Structure (POSCAR):
```
BaLa2Cl
1.0
3.752 0.000 0.000
0.000 3.752 0.000
0.000 0.000 10.272
Ba La Cl
1 2 1
direct
0.000 0.000 0.000
0.000 0.000 0.438
0.500 0.500 0.692
0.500 0.500 0.223
```

Computed properties:
The calculation puts the total energy at -0.2961 Ry per atom. The calculation puts the relative energy among the computed polymorphs at 82 meV/atom. The uncorrected formation energy is -0.623 eV per atom. The spin magnetization comes out at 0.00 μB/f.u. As for the space group: P4mm. The density of states at the Fermi level is 5.35 states/eV per cell.

---

Entry 9:
First-principles (GGA-PBE) data for a relaxed BaLa2Cl crystal, as listed in Alexandria.

Structure (POSCAR):
```
BaLa2Cl
1.0
3.731 0.000 0.000
0.000 5.688 0.000
0.000 0.000 6.937
Ba La Cl
1 2 1
direct
0.000 0.000 0.000
0.000 0.500 0.500
0.500 0.000 0.500
0.500 0.500 0.000
```

Computed properties:
The calculation puts the total energy at -0.2822 Ry per atom. The calculation puts the relative energy among the computed polymorphs at 272 meV/atom. The uncorrected formation energy is -0.433 eV per atom. The spin magnetization comes out at 0.38 μB/f.u. As for the space group: Pmmm. The density of states at the Fermi level is 5.22 states/eV per cell.

---

Entry 10:
First-principles (GGA-PBE) data for a relaxed Ba2LaCl7 crystal, as listed in Alexandria.

Structure (POSCAR):
```
Ba2LaCl7
1.0
7.075 0.000 0.000
0.000 15.897 0.000
-0.190 0.000 10.798
Ba La Cl
8 4 28
direct
0.230 0.000 0.197
0.230 0.057 0.697
0.231 0.340 0.076
0.231 0.717 0.576
0.769 0.217 0.424
0.769 0.840 0.924
0.770 0.500 0.803
0.770 0.557 0.303
0.280 0.405 0.535
0.280 0.651 0.035
0.720 0.151 0.965
0.720 0.905 0.465
0.004 0.538 0.557
0.005 0.518 0.057
0.007 0.674 0.831
0.008 0.382 0.331
0.189 0.234 0.543
0.189 0.822 0.043
0.209 0.633 0.290
0.210 0.424 0.790
0.358 0.849 0.373
0.359 0.208 0.872
0.494 0.002 0.952
0.494 0.055 0.453
0.496 0.881 0.680
0.497 0.176 0.180
0.503 0.676 0.820
0.504 0.381 0.320
0.506 0.502 0.048
0.506 0.555 0.547
0.641 0.708 0.128
0.642 0.349 0.627
0.790 0.924 0.210
0.791 0.133 0.710
0.811 0.322 0.957
0.811 0.734 0.457
0.992 0.882 0.669
0.993 0.174 0.169
0.995 0.018 0.943
0.996 0.038 0.443
```

Computed properties:
The calculation puts the total energy at -0.3423 Ry per atom. The calculation puts the relative energy among the computed polymorphs at 0 meV/atom. The uncorrected formation energy is -2.488 eV per atom. The spin magnetization comes out at 0.00 μB/f.u. As for the space group: P2_1. The density of states at the Fermi level is 0.00 states/eV per cell.

---

Entry 11:
First-principles (GGA-PBE) data for a relaxed BaLa2Cl crystal, as listed in Alexandria.

Structure (POSCAR):
```
BaLa2Cl
1.0
0.000 4.225 4.225
4.225 0.000 4.225
4.225 4.225 0.000
Ba La Cl
1 2 1
direct
0.000 0.000 0.000
0.500 0.500 0.500
0.750 0.750 0.750
0.250 0.250 0.250
```

Computed properties:
The calculation puts the total energy at -0.2515 Ry per atom. The calculation puts the relative energy among the computed polymorphs at 688 meV/atom. The uncorrected formation energy is -0.016 eV per atom. The spin magnetization comes out at 3.71 μB/f.u. As for the space group: F-43m. The density of states at the Fermi level is 7.69 states/eV per cell.

---

Entry 12:
First-principles (GGA-PBE) data for a relaxed BaLaCl4 crystal, as listed in Alexandria.

Structure (POSCAR):
```
BaLaCl4
1.0
0.000 4.346 4.346
4.346 0.000 4.346
4.346 4.346 0.000
Ba La Cl
1 1 4
direct
0.000 0.000 0.000
0.250 0.250 0.250
0.126 0.625 0.625
0.625 0.126 0.625
0.625 0.625 0.126
0.625 0.625 0.625
```

Computed properties:
The calculation puts the total energy at -0.2490 Ry per atom. The uncorrected formation energy is -1.015 eV per atom. The spin magnetization comes out at 1.02 μB/f.u. As for the space group: F-43m. The density of states at the Fermi level is 5.10 states/eV per cell.